Compound: MgNi2O4
Source: the Alexandria database
Functional: PBE with a Hubbard U
Structure: relaxed

## Properties
Electronic total energy, eV/f.u.: -35.37
Fermi-level density of states, states/eV/f.u.: 0.37
Space group: No. 2

a b c (Å): 2.9654 6.8712 7.4922
angles (deg): 71.76 88.60 78.60
With the nearest neighbours (Å) after each atom.
Fractional positions:
Mg 0.1941 0.0934 0.1404  6 O 2.07-2.22
Mg 0.8059 0.9066 0.8596  6 O 2.07-2.22
Ni 0.0767 0.3669 0.7731  5 O 2.01-2.10
Ni 0.3629 0.8072 0.5487  5 O 1.89-2.07
Ni 0.6371 0.1928 0.4513  5 O 1.89-2.07
Ni 0.9233 0.6331 0.2269  5 O 2.01-2.10
O 0.0485 0.3214 0.2778  3 Ni 1.89-2.07, 1 Mg 2.10
O 0.2599 0.0381 0.6447  2 Ni 1.91-1.98
O 0.3441 0.8028 0.0605  2 Ni 2.01-2.07, 3 Mg 2.07-2.22
O 0.4418 0.5995 0.4266  1 O 1.44
O 0.5582 0.4005 0.5734  1 O 1.44
O 0.6559 0.1972 0.9395  2 Ni 2.01-2.07, 3 Mg 2.07-2.22
O 0.7401 0.9619 0.3553  2 Ni 1.91-1.98
O 0.9515 0.6786 0.7222  3 Ni 1.89-2.07, 1 Mg 2.10